Record 1
Compound: CdSiPdPt2
Source: Alexandria via LeMat-Bulk
Functional: PBE
Structure: relaxed

Results
Calculated volume ... 98.24 Å³ per cell
Calculated density ... 10.8 g cm⁻³
Energy ... -4.462 eV/atom
Total magnetization ... 0.000 μB/cell
Raw formation energy ... 0.2608 eV per atom
Density of states at the Fermi level ... 1.7 states/eV per cell

CIF file:
```
data_CdSiPdPt2
_chemical_formula_sum 'Cd1 Si1 Pd1 Pt2'
_symmetry_space_group_name_H-M 'P 1'
_symmetry_Int_Tables_number 1
_symmetry_space_group_name_Hall 'P 1'
_cell_length_a 4.472
_cell_length_b 4.912
_cell_length_c 4.472
_cell_angle_alpha 90.00
_cell_angle_beta 90.00
_cell_angle_gamma 90.00
loop_
_atom_site_label
_atom_site_type_symbol
_atom_site_fract_x
_atom_site_fract_y
_atom_site_fract_z
Si1 Si 0.000 0.000 0.000
Pd1 Pd 0.500 0.500 0.500
Pt1 Pt 0.000 0.000 0.500
Pt2 Pt 0.500 0.000 0.000
Cd1 Cd 0.000 0.500 0.000
```



Record 2
Compound: CdSnPdPt
Source: Alexandria via LeMat-Bulk
Functional: PBE
Structure: relaxed

Results
Calculated volume ... 72.25 Å³ per cell
Calculated density ... 12.2 g cm⁻³
Energy ... -4.428 eV/atom
Total magnetization ... 0.000 μB/cell
Density of states at the Fermi level ... 2.8 states/eV per cell

CIF file:
```
data_CdSnPdPt
_chemical_formula_sum 'Cd1 Sn1 Pd1 Pt1'
_symmetry_space_group_name_H-M 'P 1'
_symmetry_Int_Tables_number 1
_symmetry_space_group_name_Hall 'P 1'
_cell_length_a 4.675
_cell_length_b 4.675
_cell_length_c 4.675
_cell_angle_alpha 60.00
_cell_angle_beta 60.00
_cell_angle_gamma 60.00
loop_
_atom_site_label
_atom_site_type_symbol
_atom_site_fract_x
_atom_site_fract_y
_atom_site_fract_z
Pd1 Pd 0.250 0.250 0.250
Sn1 Sn 0.000 0.000 0.000
Pt1 Pt 0.750 0.750 0.750
Cd1 Cd 0.500 0.500 0.500
```



Record 3
Compound: Cd2Sn2Pd7Pt
Source: Alexandria via LeMat-Bulk
Functional: PBE
Structure: relaxed

Results
Calculated volume ... 226.97 Å³ per cell
Calculated density ... 10.3 g cm⁻³
Energy ... -4.480 eV/atom
Total magnetization ... 0.001 μB/cell
Density of states at the Fermi level ... 12.9 states/eV per cell

CIF file:
```
data_Cd2Sn2Pd7Pt
_chemical_formula_sum 'Cd2 Sn2 Pd7 Pt1'
_symmetry_space_group_name_H-M 'P 1'
_symmetry_Int_Tables_number 1
_symmetry_space_group_name_Hall 'P 1'
_cell_length_a 3.809
_cell_length_b 3.809
_cell_length_c 15.876
_cell_angle_alpha 83.03
_cell_angle_beta 83.03
_cell_angle_gamma 90.01
loop_
_atom_site_label
_atom_site_type_symbol
_atom_site_fract_x
_atom_site_fract_y
_atom_site_fract_z
Cd1 Cd 0.634 0.634 0.736
Cd2 Cd 0.366 0.366 0.264
Sn1 Sn 0.809 0.809 0.382
Sn2 Sn 0.191 0.191 0.618
Pd1 Pd 0.500 0.500 0.000
Pd2 Pd 0.277 0.277 0.446
Pd3 Pd 0.723 0.723 0.554
Pd4 Pd 0.932 0.432 0.133
Pd5 Pd 0.432 0.932 0.133
Pd6 Pd 0.568 0.068 0.867
Pd7 Pd 0.068 0.568 0.867
Pt1 Pt 0.000 0.000 0.000
```



Record 4
Compound: Cd2SnPd5Pt
Source: Alexandria via LeMat-Bulk
Functional: PBE
Structure: relaxed

Results
Calculated volume ... 335.31 Å³ per cell
Calculated density ... 10.6 g cm⁻³
Energy ... -4.253 eV/atom
Total magnetization ... 0.000 μB/cell
Density of states at the Fermi level ... 8.4 states/eV per cell

CIF file:
```
data_Cd2SnPd5Pt
_chemical_formula_sum 'Cd4 Sn2 Pd10 Pt2'
_symmetry_space_group_name_H-M 'P 1'
_symmetry_Int_Tables_number 1
_symmetry_space_group_name_Hall 'P 1'
_cell_length_a 6.751
_cell_length_b 6.751
_cell_length_c 8.771
_cell_angle_alpha 112.63
_cell_angle_beta 112.63
_cell_angle_gamma 90.00
loop_
_atom_site_label
_atom_site_type_symbol
_atom_site_fract_x
_atom_site_fract_y
_atom_site_fract_z
Cd1 Cd 0.135 0.365 0.000
Cd2 Cd 0.635 0.135 0.000
Cd3 Cd 0.365 0.865 0.000
Cd4 Cd 0.865 0.635 0.000
Sn1 Sn 0.250 0.250 0.500
Sn2 Sn 0.750 0.750 0.500
Pd1 Pd 0.923 0.423 0.308
Pd2 Pd 0.615 0.115 0.692
Pd3 Pd 0.077 0.577 0.692
Pd4 Pd 0.115 0.077 0.692
Pd5 Pd 0.577 0.615 0.692
Pd6 Pd 0.885 0.923 0.308
Pd7 Pd 0.423 0.385 0.308
Pd8 Pd 0.385 0.885 0.308
Pd9 Pd 0.500 0.500 0.000
Pd10 Pd 0.000 0.000 0.000
Pt1 Pt 0.250 0.750 0.500
Pt2 Pt 0.750 0.250 0.500
```



Record 5
Compound: Tb4CdPd2Pt
Source: Alexandria via LeMat-Bulk
Functional: PBE
Structure: relaxed

Results
Calculated volume ... 182.87 Å³ per cell
Calculated density ... 10.5 g cm⁻³
Energy ... -5.297 eV/atom
Total magnetization ... 0.000 μB/cell
Density of states at the Fermi level ... 6.0 states/eV per cell

CIF file:
```
data_Tb4CdPd2Pt
_chemical_formula_sum 'Tb4 Cd1 Pd2 Pt1'
_symmetry_space_group_name_H-M 'P 1'
_symmetry_Int_Tables_number 1
_symmetry_space_group_name_Hall 'P 1'
_cell_length_a 5.061
_cell_length_b 5.061
_cell_length_c 8.747
_cell_angle_alpha 73.19
_cell_angle_beta 73.19
_cell_angle_gamma 60.00
loop_
_atom_site_label
_atom_site_type_symbol
_atom_site_fract_x
_atom_site_fract_y
_atom_site_fract_z
Tb1 Tb 0.382 0.382 0.855
Tb2 Tb 0.869 0.869 0.392
Tb3 Tb 0.131 0.131 0.608
Tb4 Tb 0.618 0.618 0.145
Cd1 Cd 0.000 0.000 0.000
Pd1 Pd 0.741 0.741 0.776
Pd2 Pd 0.259 0.259 0.224
Pt1 Pt 0.500 0.500 0.500
```



Record 6
Compound: CdTcPdPt2
Source: Alexandria via LeMat-Bulk
Functional: PBE
Structure: relaxed

Results
Calculated volume ... 120.18 Å³ per cell
Calculated density ... 9.8 g cm⁻³
Energy ... -3.929 eV/atom
Total magnetization ... 4.379 μB/cell
Density of states at the Fermi level ... 3.3 states/eV per cell

CIF file:
```
data_CdTcPdPt2
_chemical_formula_sum 'Cd1 Tc1 Pd1 Pt2'
_symmetry_space_group_name_H-M 'P 1'
_symmetry_Int_Tables_number 1
_symmetry_space_group_name_Hall 'P 1'
_cell_length_a 4.899
_cell_length_b 5.008
_cell_length_c 4.899
_cell_angle_alpha 90.00
_cell_angle_beta 90.00
_cell_angle_gamma 90.00
loop_
_atom_site_label
_atom_site_type_symbol
_atom_site_fract_x
_atom_site_fract_y
_atom_site_fract_z
Tc1 Tc 0.000 0.500 0.000
Pd1 Pd 0.500 0.500 0.500
Pt1 Pt 0.000 0.000 0.500
Pt2 Pt 0.500 0.000 0.000
Cd1 Cd 0.000 0.000 0.000
```



Record 7
Compound: ThCdPdPt
Source: Alexandria via LeMat-Bulk
Functional: PBE
Structure: relaxed

Results
Calculated volume ... 85.68 Å³ per cell
Calculated density ... 12.5 g cm⁻³
Energy ... -5.688 eV/atom
Total magnetization ... 0.000 μB/cell
Density of states at the Fermi level ... 1.6 states/eV per cell

CIF file:
```
data_ThCdPdPt
_chemical_formula_sum 'Th1 Cd1 Pd1 Pt1'
_symmetry_space_group_name_H-M 'P 1'
_symmetry_Int_Tables_number 1
_symmetry_space_group_name_Hall 'P 1'
_cell_length_a 4.721
_cell_length_b 5.199
_cell_length_c 4.730
_cell_angle_alpha 117.01
_cell_angle_beta 119.94
_cell_angle_gamma 90.00
loop_
_atom_site_label
_atom_site_type_symbol
_atom_site_fract_x
_atom_site_fract_y
_atom_site_fract_z
Th1 Th 0.999 0.997 0.998
Cd1 Cd 0.499 0.497 0.998
Pd1 Pd 0.775 0.323 0.549
Pt1 Pt 0.227 0.682 0.454
```



Record 8
Compound: TiCdPdPt
Source: Alexandria via LeMat-Bulk
Functional: PBE
Structure: relaxed

Results
Calculated volume ... 66.65 Å³ per cell
Calculated density ... 11.5 g cm⁻³
Energy ... -5.613 eV/atom
Total magnetization ... 0.494 μB/cell
Density of states at the Fermi level ... 2.6 states/eV per cell

CIF file:
```
data_TiCdPdPt
_chemical_formula_sum 'Ti1 Cd1 Pd1 Pt1'
_symmetry_space_group_name_H-M 'P 1'
_symmetry_Int_Tables_number 1
_symmetry_space_group_name_Hall 'P 1'
_cell_length_a 2.939
_cell_length_b 2.939
_cell_length_c 7.716
_cell_angle_alpha 90.00
_cell_angle_beta 90.00
_cell_angle_gamma 90.00
loop_
_atom_site_label
_atom_site_type_symbol
_atom_site_fract_x
_atom_site_fract_y
_atom_site_fract_z
Ti1 Ti 0.000 0.000 0.574
Cd1 Cd 0.000 0.000 0.073
Pd1 Pd 0.500 0.500 0.340
Pt1 Pt 0.500 0.500 0.798
```



Record 9
Compound: TlCdPdPt
Source: Alexandria via LeMat-Bulk
Functional: PBE
Structure: relaxed

Results
Calculated volume ... 73.71 Å³ per cell
Calculated density ... 13.9 g cm⁻³
Energy ... -3.809 eV/atom
Total magnetization ... 0.000 μB/cell
Density of states at the Fermi level ... 1.4 states/eV per cell

CIF file:
```
data_TlCdPdPt
_chemical_formula_sum 'Tl1 Cd1 Pd1 Pt1'
_symmetry_space_group_name_H-M 'P 1'
_symmetry_Int_Tables_number 1
_symmetry_space_group_name_Hall 'P 1'
_cell_length_a 4.706
_cell_length_b 4.706
_cell_length_c 4.706
_cell_angle_alpha 60.00
_cell_angle_beta 60.00
_cell_angle_gamma 60.00
loop_
_atom_site_label
_atom_site_type_symbol
_atom_site_fract_x
_atom_site_fract_y
_atom_site_fract_z
Tl1 Tl 0.000 0.000 0.000
Pd1 Pd 0.250 0.250 0.250
Pt1 Pt 0.750 0.750 0.750
Cd1 Cd 0.500 0.500 0.500
```



Record 10
Compound: Tl2CdPdPt
Source: Alexandria via LeMat-Bulk
Functional: PBE
Structure: relaxed

Results
Calculated volume ... 143.55 Å³ per cell
Calculated density ... 9.5 g cm⁻³
Energy ... -3.074 eV/atom
Total magnetization ... 0.000 μB/cell
Density of states at the Fermi level ... 2.6 states/eV per cell

CIF file:
```
data_Tl2CdPdPt
_chemical_formula_sum 'Tl2 Cd1 Pd1 Pt1'
_symmetry_space_group_name_H-M 'P 1'
_symmetry_Int_Tables_number 1
_symmetry_space_group_name_Hall 'P 1'
_cell_length_a 5.230
_cell_length_b 5.249
_cell_length_c 5.230
_cell_angle_alpha 90.00
_cell_angle_beta 90.00
_cell_angle_gamma 90.00
loop_
_atom_site_label
_atom_site_type_symbol
_atom_site_fract_x
_atom_site_fract_y
_atom_site_fract_z
Tl1 Tl 0.000 0.000 0.500
Tl2 Tl 0.500 0.000 0.000
Pd1 Pd 0.000 0.500 0.000
Pt1 Pt 0.000 0.000 0.000
Cd1 Cd 0.500 0.500 0.500
```